# TmScAlAu, relaxed, DFT PBE
# E above lowest polymorph: 0 meV per atom
# DOS(E_F): 1.5 states/eV/cell
# magnetic moment: 0.000 μB/atom
data_TmScAlAu
_cell_length_a 3.445
_cell_length_b 3.445
_cell_length_c 7.126
_cell_angle_alpha 90.00
_cell_angle_beta 90.00
_cell_angle_gamma 90.00
_space_group_name_H-M_alt 'P 4 m m'
_space_group_IT_number 99
_space_group_name_Hall 'P 4 -2'
loop_
_atom_site_label
_atom_site_fract_x
_atom_site_fract_y
_atom_site_fract_z
Tm1 0.000 0.000 0.000
Sc1 0.000 0.000 0.514
Al1 0.500 0.500 0.274
Au1 0.500 0.500 0.734